This record from the Alexandria database describes a relaxed structure of La5Zn. The functional is PBEsol.

Geometry as CIF:
```
data_La5Zn
_chemical_formula_sum 'La10 Zn2'
_symmetry_space_group_name_H-M 'A m m 2'
_symmetry_Int_Tables_number 38
_cell_length_a 5.721
_cell_length_b 3.619
_cell_length_c 17.693
_cell_angle_alpha 90.00
_cell_angle_beta 90.00
_cell_angle_gamma 90.00
loop_
_symmetry_equiv_pos_as_xyz
'x,y,z'
'-x,-y,z'
'-x,y,z'
'x,-y,z'
'x,y+1/2,z+1/2'
'-x,-y+1/2,z+1/2'
'-x,y+1/2,z+1/2'
'x,-y+1/2,z+1/2'
loop_
_atom_site_label
_atom_site_fract_x
_atom_site_fract_y
_atom_site_fract_z
La1 0.000 0.000 0.000
La2 0.000 0.000 0.297
La3 0.500 0.000 0.128
La4 0.500 0.000 0.457
La5 0.500 0.000 0.783
Zn1 0.000 0.000 0.651
```

## Properties
* N(E_F): 14.52 states/eV per cell
* relative energy among the computed polymorphs: 0.069 eV per atom
* formation energy: -23 meV per atom
* total moment: 0.0 μB/cell

***

This record from the Alexandria database describes a relaxed structure of La2Zn. The functional is PBEsol.

Geometry as CIF:
```
data_La2Zn
_chemical_formula_sum 'La6 Zn3'
_symmetry_space_group_name_H-M 'P -6 2 m'
_symmetry_Int_Tables_number 189
_symmetry_space_group_name_Hall 'P -6 -2'
_cell_length_a 8.0566
_cell_length_b 8.0566
_cell_length_c 4.5135
_cell_angle_alpha 90.00
_cell_angle_beta 90.00
_cell_angle_gamma 120.00
loop_
_atom_site_label
_atom_site_fract_x
_atom_site_fract_y
_atom_site_fract_z
La1 0.0000 0.4013 0.0000
La2 0.0000 0.7257 0.5000
Zn1 0.0000 0.0000 0.0000
Zn2 0.3333 0.6667 0.5000
```

## Properties
* N(E_F): 12.19 states/eV per cell
* formation energy: -147 meV per atom
* total moment: 0.0 μB/cell

***

This record from the Alexandria database describes a relaxed structure of La3Zn. The functional is PBEsol.

Geometry as CIF:
```
data_La3Zn
_chemical_formula_sum 'La12 Zn4'
_symmetry_space_group_name_H-M 'F m -3 m'
_symmetry_Int_Tables_number 225
_symmetry_space_group_name_Hall '-F 4 2 3'
_cell_length_a 7.582
_cell_length_b 7.582
_cell_length_c 7.582
_cell_angle_alpha 90.00
_cell_angle_beta 90.00
_cell_angle_gamma 90.00
loop_
_atom_site_label
_atom_site_fract_x
_atom_site_fract_y
_atom_site_fract_z
La1 0.000 0.000 0.000
La2 0.250 0.250 0.250
Zn1 0.000 0.000 0.500
```

## Properties
* N(E_F): 27.84 states/eV per cell
* formation energy: 26 meV per atom
* total moment: 0.0 μB/cell

***

This record from the Alexandria database describes a relaxed structure of La2Zn. The functional is PBEsol.

Geometry as CIF:
```
data_La2Zn
_chemical_formula_sum 'La2 Zn1'
_symmetry_space_group_name_H-M 'P -3 m 1'
_symmetry_Int_Tables_number 164
_symmetry_space_group_name_Hall '-P 3 2"'
_cell_length_a 4.9074
_cell_length_b 4.9074
_cell_length_c 3.7805
_cell_angle_alpha 90.00
_cell_angle_beta 90.00
_cell_angle_gamma 120.00
loop_
_atom_site_label
_atom_site_fract_x
_atom_site_fract_y
_atom_site_fract_z
La1 0.3333 0.6667 0.3276
Zn1 0.0000 0.0000 0.0000
```

## Properties
* N(E_F): 2.79 states/eV per cell
* formation energy: -128 meV per atom
* total moment: 0.0 μB/cell

***

This record from the Alexandria database describes a relaxed structure of La3Zn. The functional is PBEsol.

Geometry as CIF:
```
data_La3Zn
_chemical_formula_sum 'La3 Zn1'
_symmetry_space_group_name_H-M 'P m m 2'
_symmetry_Int_Tables_number 25
_cell_length_a 3.594
_cell_length_b 5.437
_cell_length_c 5.823
_cell_angle_alpha 90.00
_cell_angle_beta 90.00
_cell_angle_gamma 90.00
loop_
_symmetry_equiv_pos_as_xyz
'x,y,z'
'-x,-y,z'
'-x,y,z'
'x,-y,z'
loop_
_atom_site_label
_atom_site_fract_x
_atom_site_fract_y
_atom_site_fract_z
La1 0.000 0.000 0.000
La2 0.000 0.500 0.415
La3 0.500 0.000 0.558
Zn1 0.500 0.500 0.893
```

## Properties
* N(E_F): 4.08 states/eV per cell
* formation energy: -63 meV per atom
* total moment: 0.0 μB/cell

***

This record from the Alexandria database describes a relaxed structure of La3Zn. The functional is PBEsol.

Geometry as CIF:
```
data_La3Zn
_chemical_formula_sum 'La3 Zn1'
_symmetry_space_group_name_H-M 'P m -3 m'
_symmetry_Int_Tables_number 221
_symmetry_space_group_name_Hall '-P 4 2 3'
_cell_length_a 5.729
_cell_length_b 5.729
_cell_length_c 5.729
_cell_angle_alpha 90.00
_cell_angle_beta 90.00
_cell_angle_gamma 90.00
loop_
_atom_site_label
_atom_site_fract_x
_atom_site_fract_y
_atom_site_fract_z
La1 0.000 0.000 0.500
Zn1 0.000 0.000 0.000
```

## Properties
* N(E_F): 6.30 states/eV per cell
* formation energy: 666 meV per atom
* total moment: 0.0 μB/cell

***

This record from the Alexandria database describes a relaxed structure of LaZn13. The functional is PBEsol.

Geometry as CIF:
```
data_LaZn13
_chemical_formula_sum 'La8 Zn104'
_symmetry_space_group_name_H-M 'F m -3 c'
_symmetry_Int_Tables_number 226
_symmetry_space_group_name_Hall '-F 4a 2 3'
_cell_length_a 11.977
_cell_length_b 11.977
_cell_length_c 11.977
_cell_angle_alpha 90.00
_cell_angle_beta 90.00
_cell_angle_gamma 90.00
loop_
_atom_site_label
_atom_site_fract_x
_atom_site_fract_y
_atom_site_fract_z
La1 0.250 0.250 0.250
Zn1 0.000 0.000 0.000
Zn2 0.000 0.121 0.179
```

## Properties
* N(E_F): 27.72 states/eV per cell
* formation energy: -218 meV per atom
* total moment: 0.0 μB/cell

***

This record from the Alexandria database describes a relaxed structure of LaZn. The functional is PBEsol.

Geometry as CIF:
```
data_LaZn
_chemical_formula_sum 'La12 Zn12'
_symmetry_space_group_name_H-M 'P b c m'
_symmetry_Int_Tables_number 57
_cell_length_a 10.780
_cell_length_b 8.784
_cell_length_c 6.464
_cell_angle_alpha 90.00
_cell_angle_beta 90.00
_cell_angle_gamma 90.00
loop_
_symmetry_equiv_pos_as_xyz
'x,y,z'
'-x,-y,-z'
'-x,-y,z+1/2'
'x,y,-z+1/2'
'x,-y+1/2,-z'
'-x,y+1/2,z'
'-x,y+1/2,-z+1/2'
'x,-y+1/2,z+1/2'
loop_
_atom_site_label
_atom_site_fract_x
_atom_site_fract_y
_atom_site_fract_z
La1 0.111 0.250 0.000
La2 0.197 0.642 0.250
La3 0.372 0.043 0.250
Zn1 0.075 0.545 0.750
Zn2 0.381 0.116 0.750
Zn3 0.445 0.750 0.000
```

## Properties
* N(E_F): 22.84 states/eV per cell
* formation energy: -196 meV per atom
* total moment: 0.0 μB/cell

***

This record from the Alexandria database describes a relaxed structure of La2Zn3. The functional is PBEsol.

Geometry as CIF:
```
data_La2Zn3
_chemical_formula_sum 'La16 Zn24'
_symmetry_space_group_name_H-M 'F d d 2'
_symmetry_Int_Tables_number 43
_symmetry_space_group_name_Hall 'F 2 -2d'
_cell_length_a 9.711
_cell_length_b 15.952
_cell_length_c 5.850
_cell_angle_alpha 90.00
_cell_angle_beta 90.00
_cell_angle_gamma 90.00
loop_
_atom_site_label
_atom_site_fract_x
_atom_site_fract_y
_atom_site_fract_z
La1 0.086 0.297 0.000
Zn1 0.000 0.000 0.272
Zn2 0.083 0.375 0.509
```

## Properties
* N(E_F): 43.40 states/eV per cell
* formation energy: -264 meV per atom
* total moment: 0.0 μB/cell

***

This record from the Alexandria database describes a relaxed structure of La3Zn. The functional is PBEsol.

Geometry as CIF:
```
data_La3Zn
_chemical_formula_sum 'La6 Zn2'
_symmetry_space_group_name_H-M 'P m m n'
_symmetry_Int_Tables_number 59
_cell_length_a 5.266
_cell_length_b 6.938
_cell_length_c 6.109
_cell_angle_alpha 90.00
_cell_angle_beta 90.00
_cell_angle_gamma 90.00
loop_
_symmetry_equiv_pos_as_xyz
'x,y,z'
'-x,-y,-z'
'-x+1/2,-y+1/2,z'
'x+1/2,y+1/2,-z'
'x+1/2,-y,-z'
'-x+1/2,y,z'
'-x,y+1/2,-z'
'x,-y+1/2,z'
loop_
_atom_site_label
_atom_site_fract_x
_atom_site_fract_y
_atom_site_fract_z
La1 0.250 0.002 0.184
La2 0.250 0.250 0.618
Zn1 0.250 0.750 0.688
```

## Properties
* N(E_F): 9.53 states/eV per cell
* formation energy: -68 meV per atom
* total moment: 0.0 μB/cell

***

This record from the Alexandria database describes a relaxed structure of LaZn. The functional is PBEsol.

Geometry as CIF:
```
data_LaZn
_chemical_formula_sum 'La4 Zn4'
_symmetry_space_group_name_H-M 'F m -3 m'
_symmetry_Int_Tables_number 225
_symmetry_space_group_name_Hall '-F 4 2 3'
_cell_length_a 6.180
_cell_length_b 6.180
_cell_length_c 6.180
_cell_angle_alpha 90.00
_cell_angle_beta 90.00
_cell_angle_gamma 90.00
loop_
_atom_site_label
_atom_site_fract_x
_atom_site_fract_y
_atom_site_fract_z
La1 0.000 0.000 0.000
Zn1 0.000 0.000 0.500
```

## Properties
* N(E_F): 9.08 states/eV per cell
* formation energy: 89 meV per atom
* total moment: 5.2 μB/cell

***

This record from the Alexandria database describes a relaxed structure of La3Zn. The functional is PBEsol.

Geometry as CIF:
```
data_La3Zn
_chemical_formula_sum 'La12 Zn4'
_symmetry_space_group_name_H-M 'P n m a'
_symmetry_Int_Tables_number 62
_cell_length_a 6.451
_cell_length_b 10.891
_cell_length_c 6.576
_cell_angle_alpha 90.00
_cell_angle_beta 90.00
_cell_angle_gamma 90.00
loop_
_symmetry_equiv_pos_as_xyz
'x,y,z'
'-x,-y,-z'
'-x+1/2,-y,z+1/2'
'x+1/2,y,-z+1/2'
'x+1/2,-y+1/2,-z+1/2'
'-x+1/2,y+1/2,z+1/2'
'-x,y+1/2,-z'
'x,-y+1/2,z'
loop_
_atom_site_label
_atom_site_fract_x
_atom_site_fract_y
_atom_site_fract_z
La1 0.011 0.250 0.144
La2 0.225 0.043 0.593
Zn1 0.095 0.750 0.365
```

## Properties
* N(E_F): 18.79 states/eV per cell
* formation energy: -96 meV per atom
* total moment: 0.0 μB/cell

***

This record from the Alexandria database describes a relaxed structure of LaZn4. The functional is PBEsol.

Geometry as CIF:
```
data_LaZn4
_chemical_formula_sum 'La4 Zn16'
_symmetry_space_group_name_H-M 'C m c m'
_symmetry_Int_Tables_number 63
_symmetry_space_group_name_Hall '-C 2c 2'
_cell_length_a 6.245
_cell_length_b 10.089
_cell_length_c 5.951
_cell_angle_alpha 90.00
_cell_angle_beta 90.00
_cell_angle_gamma 90.00
loop_
_atom_site_label
_atom_site_fract_x
_atom_site_fract_y
_atom_site_fract_z
La1 0.000 0.232 0.250
Zn1 0.000 0.107 0.750
Zn2 0.000 0.349 0.750
Zn3 0.215 0.500 0.000
```

## Properties
* N(E_F): 14.39 states/eV per cell
* formation energy: -323 meV per atom
* total moment: 0.0 μB/cell

***

This record from the Alexandria database describes a relaxed structure of LaZn. The functional is PBEsol.

Geometry as CIF:
```
data_LaZn
_chemical_formula_sum 'La4 Zn4'
_symmetry_space_group_name_H-M 'I m m a'
_symmetry_Int_Tables_number 74
_symmetry_space_group_name_Hall '-I 2b 2'
_cell_length_a 3.665
_cell_length_b 5.018
_cell_length_c 10.401
_cell_angle_alpha 90.00
_cell_angle_beta 90.00
_cell_angle_gamma 90.00
loop_
_atom_site_label
_atom_site_fract_x
_atom_site_fract_y
_atom_site_fract_z
La1 0.000 0.250 0.105
Zn1 0.000 0.250 0.665
```

## Properties
* N(E_F): 6.05 states/eV per cell
* formation energy: -262 meV per atom
* total moment: 0.0 μB/cell

***

This record from the Alexandria database describes a relaxed structure of LaZrZn2. The functional is PBEsol.

Geometry as CIF:
```
data_LaZrZn2
_chemical_formula_sum 'La2 Zr2 Zn4'
_symmetry_space_group_name_H-M 'C m m m'
_symmetry_Int_Tables_number 65
_symmetry_space_group_name_Hall '-C 2 2'
_cell_length_a 6.529
_cell_length_b 8.166
_cell_length_c 3.082
_cell_angle_alpha 90.00
_cell_angle_beta 90.00
_cell_angle_gamma 90.00
loop_
_atom_site_label
_atom_site_fract_x
_atom_site_fract_y
_atom_site_fract_z
La1 0.000 0.000 0.000
Zr1 0.000 0.500 0.000
Zn1 0.250 0.250 0.500
```

## Properties
* N(E_F): 7.39 states/eV per cell
* relative energy among the computed polymorphs: 0.107 eV per atom
* formation energy: -133 meV per atom
* total moment: 0.0 μB/cell

***

This record from the Alexandria database describes a relaxed structure of LaZrZn2. The functional is PBEsol.

Geometry as CIF:
```
data_LaZrZn2
_chemical_formula_sum 'La1 Zr1 Zn2'
_symmetry_space_group_name_H-M 'P 4/m m m'
_symmetry_Int_Tables_number 123
_symmetry_space_group_name_Hall '-P 4 2'
_cell_length_a 3.420
_cell_length_b 3.420
_cell_length_c 7.179
_cell_angle_alpha 90.00
_cell_angle_beta 90.00
_cell_angle_gamma 90.00
loop_
_atom_site_label
_atom_site_fract_x
_atom_site_fract_y
_atom_site_fract_z
La1 0.000 0.000 0.000
Zr1 0.000 0.000 0.500
Zn1 0.500 0.500 0.293
```

## Properties
* N(E_F): 3.36 states/eV per cell
* relative energy among the computed polymorphs: 0.000 eV per atom
* formation energy: -240 meV per atom
* total moment: 0.0 μB/cell

***

This record from the Alexandria database describes a relaxed structure of LaZrZn2. The functional is PBEsol.

Geometry as CIF:
```
data_LaZrZn2
_chemical_formula_sum 'La2 Zr2 Zn4'
_symmetry_space_group_name_H-M 'I -4 m 2'
_symmetry_Int_Tables_number 119
_symmetry_space_group_name_Hall 'I -4 -2'
_cell_length_a 4.228
_cell_length_b 4.228
_cell_length_c 9.234
_cell_angle_alpha 90.00
_cell_angle_beta 90.00
_cell_angle_gamma 90.00
loop_
_atom_site_label
_atom_site_fract_x
_atom_site_fract_y
_atom_site_fract_z
La1 0.000 0.000 0.000
Zr1 0.000 0.500 0.750
Zn1 0.000 0.000 0.500
Zn2 0.000 0.500 0.250
```

## Properties
* N(E_F): 7.93 states/eV per cell
* relative energy among the computed polymorphs: 0.243 eV per atom
* formation energy: 2 meV per atom
* total moment: 0.0 μB/cell

***

This record from the Alexandria database describes a relaxed structure of LaZrZn3. The functional is PBEsol.

Geometry as CIF:
```
data_LaZrZn3
_chemical_formula_sum 'La1 Zr1 Zn3'
_symmetry_space_group_name_H-M 'P m -3 m'
_symmetry_Int_Tables_number 221
_symmetry_space_group_name_Hall '-P 4 2 3'
_cell_length_a 4.994
_cell_length_b 4.994
_cell_length_c 4.994
_cell_angle_alpha 90.00
_cell_angle_beta 90.00
_cell_angle_gamma 90.00
loop_
_atom_site_label
_atom_site_fract_x
_atom_site_fract_y
_atom_site_fract_z
La1 0.000 0.000 0.000
Zr1 0.500 0.500 0.500
Zn1 0.000 0.500 0.500
```

## Properties
* N(E_F): 5.96 states/eV per cell
* relative energy among the computed polymorphs: 0.000 eV per atom
* formation energy: 396 meV per atom
* total moment: 0.0 μB/cell

***

This record from the Alexandria database describes a relaxed structure of LaZrZn2. The functional is PBEsol.

Geometry as CIF:
```
data_LaZrZn2
_chemical_formula_sum 'La4 Zr4 Zn8'
_symmetry_space_group_name_H-M 'F m -3 m'
_symmetry_Int_Tables_number 225
_symmetry_space_group_name_Hall '-F 4 2 3'
_cell_length_a 6.974
_cell_length_b 6.974
_cell_length_c 6.974
_cell_angle_alpha 90.00
_cell_angle_beta 90.00
_cell_angle_gamma 90.00
loop_
_atom_site_label
_atom_site_fract_x
_atom_site_fract_y
_atom_site_fract_z
La1 0.000 0.000 0.000
Zr1 0.000 0.000 0.500
Zn1 0.250 0.250 0.250
```

## Properties
* N(E_F): 17.37 states/eV per cell
* relative energy among the computed polymorphs: 0.103 eV per atom
* formation energy: -138 meV per atom
* total moment: 0.0 μB/cell

***

This record from the Alexandria database describes a relaxed structure of LaZrZn3. The functional is PBEsol.

Geometry as CIF:
```
data_LaZrZn3
_chemical_formula_sum 'La1 Zr1 Zn3'
_symmetry_space_group_name_H-M 'P m -3 m'
_symmetry_Int_Tables_number 221
_symmetry_space_group_name_Hall '-P 4 2 3'
_cell_length_a 5.090
_cell_length_b 5.090
_cell_length_c 5.090
_cell_angle_alpha 90.00
_cell_angle_beta 90.00
_cell_angle_gamma 90.00
loop_
_atom_site_label
_atom_site_fract_x
_atom_site_fract_y
_atom_site_fract_z
La1 0.000 0.000 0.000
Zr1 0.500 0.500 0.500
Zn1 0.000 0.000 0.500
```

## Properties
* N(E_F): 5.45 states/eV per cell
* relative energy among the computed polymorphs: 0.860 eV per atom
* formation energy: 1256 meV per atom
* total moment: 0.0 μB/cell

***

| no. | electronic total energy (eV per atom) | calculated density (g/cm³) |
| --- | --- | --- |
| 1 | -4.74 | 6.9 |
| 2 | -4.24 | 6.7 |
| 3 | -4.38 | 7.3 |
| 4 | -4.22 | 7.2 |
| 5 | -4.47 | 7.0 |
| 6 | -3.74 | 4.3 |
| 7 | -2.07 | 7.6 |
| 8 | -3.66 | 6.7 |
| 9 | -3.35 | 6.9 |
| 10 | -4.47 | 7.2 |
| 11 | -3.37 | 5.8 |
| 12 | -4.50 | 6.9 |
| 13 | -2.66 | 7.1 |
| 14 | -3.73 | 7.1 |
| 15 | -4.53 | 7.3 |
| 16 | -4.64 | 7.1 |
| 17 | -4.40 | 7.3 |
| 18 | -3.44 | 5.7 |
| 19 | -4.54 | 7.1 |
| 20 | -2.58 | 5.4 |